# 1
Computed, not measured: an optimized crystal structure of Sr3AuO at the PBE-GGA level of DFT.

a = 5.132 Å, b = 5.132 Å, c = 5.132 Å
α = 90.00°, β = 90.00°, γ = 90.00°
Positions (direct):
Sr1 0.000 0.000 0.500
Sr2 0.000 0.500 0.000
Sr3 0.500 0.000 0.000
Au1 0.500 0.500 0.500
O1 0.000 0.000 0.000

Calculated values
* distance to the lowest polymorph of the same formula: 0 meV/atom
* uncorrected formation energy: -1.326 eV per atom
* total DFT energy (no corrections): -19.910 eV/cell

=====

# 2
Computed, not measured: an optimized crystal structure of Ca4YMg5 at the PBE-GGA level of DFT.

a = 3.911 Å, b = 3.911 Å, c = 19.835 Å
α = 90.00°, β = 90.00°, γ = 90.00°
Positions (direct):
Ca1 0.000 0.000 0.102
Ca2 0.000 0.000 0.306
Ca3 0.000 0.000 0.694
Ca4 0.000 0.000 0.898
Y1 0.000 0.000 0.500
Mg1 0.500 0.500 0.000
Mg2 0.500 0.500 0.204
Mg3 0.500 0.500 0.408
Mg4 0.500 0.500 0.592
Mg5 0.500 0.500 0.796

Calculated values
* total DFT energy (no corrections): -23.273 eV/cell

=====

# 3
Computed, not measured: an optimized crystal structure of KBaSe4 at the PBE-GGA level of DFT.

a = 6.143 Å, b = 6.143 Å, c = 6.143 Å
α = 60.00°, β = 60.00°, γ = 60.00°
Positions (direct):
K1 0.000 0.000 0.000
Ba1 0.250 0.250 0.250
Se1 0.125 0.625 0.625
Se2 0.625 0.125 0.625
Se3 0.625 0.625 0.125
Se4 0.625 0.625 0.625

Calculated values
* distance to the lowest polymorph of the same formula: 345 meV/atom
* uncorrected formation energy: -0.634 eV per atom
* total DFT energy (no corrections): -20.763 eV/cell